5
Lattice="-2.157 -3.980 -1.967 2.677 -2.911 2.954 -3.575 0.226 3.462" Properties=species:S:1:pos:R:3 comment="PBE KLi2ZnPt, optimized geometry" ef_ev_per_atom=-0.2270 total_magnetization_mub_per_cell=0.0 space_group="P4/mmm (123)" total_energy_ev_per_atom=-2.67 pbc="T T T"
Li 1.339 -1.456 1.477
Li -1.079 -1.990 -0.984
Pt 0.000 0.000 0.000
K -1.527 -3.333 2.224
Zn -1.787 0.113 1.731

---

15
Lattice="-2.654 0.398 -7.531 -5.205 -0.544 6.050 4.132 7.561 -1.056" Properties=species:S:1:pos:R:3 comment="PBE K3LiPu3S8, optimized geometry" total_magnetization_mub_per_cell=12.0 formation_energy_uncorrected_ev_per_atom=-1.402 space_group="R-3m (166)" total_energy_ev_per_atom=-6.82 pbc="T T T"
Pu 0.739 3.980 -4.294
K 0.000 0.000 0.000
K -3.930 -0.073 -0.740
Pu -0.536 3.509 2.497
S -2.244 2.075 0.901
Pu -1.864 3.708 -1.269
S -3.488 2.361 -2.889
S -1.484 5.340 -3.438
S -4.019 4.981 -0.364
K -2.602 -0.272 3.025
S -0.987 2.627 -5.801
S 0.292 2.435 -2.173
Li 2.066 3.781 -0.528
S -2.740 4.789 3.264
S -0.240 5.055 0.352

---

16
Lattice="4.073 0.000 0.000 -2.037 6.738 0.000 0.000 0.000 13.943" Properties=species:S:1:pos:R:3 comment="PBE KLiPu2S4, optimized geometry" total_magnetization_mub_per_cell=20.0 formation_energy_uncorrected_ev_per_atom=-1.585 space_group="Cmcm (63)" total_energy_ev_per_atom=-7.61 pbc="T T T"
Pu 0.000 4.953 13.116
Pu 2.037 1.785 0.827
Li 2.037 4.514 10.457
K 2.037 5.296 3.486
Pu 2.037 1.785 6.144
S 0.000 3.506 5.481
S 0.000 3.506 1.490
Li 0.000 2.224 3.486
S 2.037 3.232 12.453
S 0.000 5.725 10.457
S 2.037 3.232 8.461
S 0.000 0.000 0.000
S 2.037 1.013 3.486
S 0.000 0.000 6.971
Pu 0.000 4.953 7.798
K 0.000 1.443 10.457

---

12
Lattice="-2.126 -1.245 3.248 7.105 -3.999 3.118 0.109 8.406 3.295" Properties=species:S:1:pos:R:3 comment="PBE KLiPuS3, optimized geometry" total_magnetization_mub_per_cell=8.0 formation_energy_uncorrected_ev_per_atom=-1.409 space_group="P2_1/m (11)" total_energy_ev_per_atom=-6.36 pbc="T T T"
Pu 0.795 4.882 6.230
S -0.086 2.824 4.864
Pu 4.293 -1.720 3.430
S 4.588 -3.310 5.572
K 4.116 2.177 7.368
S 0.500 6.472 4.088
K 0.972 0.985 2.293
S 5.174 0.338 4.796
Li 4.982 -1.190 6.643
S 1.748 -1.510 4.404
S 3.340 4.672 5.257
Li 0.106 4.352 3.017

---

12
Lattice="7.000 -0.003 0.004 -3.500 6.062 0.004 -1.163 -2.014 7.265" Properties=species:S:1:pos:R:3 comment="PBE K3LiPu2S6, optimized geometry" total_magnetization_mub_per_cell=8.0 formation_energy_uncorrected_ev_per_atom=-1.414 space_group="C2/m (12)" total_energy_ev_per_atom=-6.30 pbc="T T T"
S 3.558 1.927 5.833
K -2.401 4.084 3.636
S 0.052 0.090 5.849
K 4.738 -0.039 3.636
K 1.168 2.022 3.636
Pu 3.504 2.016 0.004
S 2.445 -0.001 1.440
S -1.222 2.118 1.440
S 2.284 3.955 1.424
Li 0.000 0.000 0.000
Pu -0.005 4.043 0.004
S -0.109 4.045 5.833

---

16
Lattice="-7.184 2.743 -3.591 3.225 -2.201 -8.135 -3.870 -3.591 15.028" Properties=species:S:1:pos:R:3 comment="PBE K4LiPu3Se8, optimized geometry" total_magnetization_mub_per_cell=13.0 formation_energy_uncorrected_ev_per_atom=-1.347 space_group="R-3m (166)" total_energy_ev_per_atom=-6.17 pbc="T T T"
Pu -3.914 -1.525 1.651
K -1.935 -1.796 7.514
Pu -1.979 0.271 -5.863
Se -1.487 -2.862 0.789
Se -3.131 0.246 -8.468
Pu -0.322 -2.896 3.447
K -5.527 -0.424 5.719
Se 0.371 -1.092 -6.718
K -3.592 1.372 -1.795
K 0.000 0.000 0.000
Se -5.097 -1.446 -0.937
Se -6.341 -0.188 2.514
Li 1.613 -1.101 -4.067
Se -4.698 -3.295 11.771
Se -2.731 -1.603 4.240
Se -8.200 -1.958 10.020

---

11
Lattice="7.159 -0.045 0.096 -3.577 6.201 0.096 -1.240 -2.131 7.694" Properties=species:S:1:pos:R:3 comment="PBE K2LiPu2Se6, optimized geometry" total_magnetization_mub_per_cell=7.0 formation_energy_uncorrected_ev_per_atom=-1.211 space_group="C2/m (12)" total_energy_ev_per_atom=-6.09 pbc="T T T"
Pu 2.952 0.977 3.944
Se 4.226 2.983 2.493
Se 1.838 -1.122 5.394
Se -1.884 1.043 5.394
Se 0.504 5.148 2.493
K 5.427 0.963 0.096
Li -0.620 -1.065 3.847
K -1.846 5.194 0.096
Se 1.699 2.921 5.497
Se 0.643 1.105 2.390
Pu -0.610 3.049 3.944

---

9
Lattice="-0.723 0.335 -4.196 6.411 -4.165 -1.437 -5.704 -4.829 2.772" Properties=species:S:1:pos:R:3 comment="PBE K2Li2PuSe4, optimized geometry" total_magnetization_mub_per_cell=4.0 formation_energy_uncorrected_ev_per_atom=-1.294 space_group="C2/m (12)" total_energy_ev_per_atom=-5.10 pbc="T T T"
Se -4.388 -5.481 0.319
Pu 0.000 0.000 0.000
Se 4.371 -3.178 -3.181
K 1.931 -3.635 -0.623
K -1.947 -5.025 -2.239
Se 1.235 -6.100 -2.873
Se -1.251 -2.560 0.012
Li 3.785 -5.664 -3.278
Li -3.801 -2.996 0.416

---

12
Lattice="7.309 -0.002 0.003 -3.655 6.330 0.003 -1.216 -2.105 7.572" Properties=species:S:1:pos:R:3 comment="PBE K3LiPu2Se6, optimized geometry" total_magnetization_mub_per_cell=8.0 formation_energy_uncorrected_ev_per_atom=-1.307 space_group="C2/m (12)" total_energy_ev_per_atom=-5.87 pbc="T T T"
Se 2.528 0.000 1.524
K 4.934 -0.034 3.789
Se 0.042 0.073 6.068
Li 0.000 0.000 0.000
K 1.219 2.111 3.789
Se -1.263 2.189 1.524
Se 2.397 4.150 1.510
Se 3.702 2.033 6.055
Pu -0.004 4.221 0.003
Pu 3.659 2.106 0.003
K -2.495 4.256 3.789
Se -0.089 4.223 6.055

---

15
Lattice="-5.797 5.799 1.720 3.327 -4.526 6.184 5.245 6.345 -3.820" Properties=species:S:1:pos:R:3 comment="PBE K3LiPu3Se8, optimized geometry" total_magnetization_mub_per_cell=4.0 formation_energy_uncorrected_ev_per_atom=-1.240 space_group="C2/m (12)" total_energy_ev_per_atom=-6.31 pbc="T T T"
Pu 4.286 0.909 1.182
K -1.235 0.636 3.952
Se 2.660 4.246 4.498
K 1.664 -2.263 3.092
Li 2.623 3.172 -1.910
K 0.000 0.000 0.000
Se 5.472 1.441 3.674
Se -1.080 3.979 3.413
Pu 1.388 3.809 2.042
Se 1.757 1.003 2.612
Se -2.696 6.176 0.409
Se 0.115 3.372 -0.415
Se 3.856 3.639 0.671
Pu -0.276 6.072 -1.050
Se 1.019 6.614 1.472

---

16
Lattice="-2.793 -3.199 -1.601 6.036 0.429 -4.955 7.670 -10.898 8.400" Properties=species:S:1:pos:R:3 comment="PBE KLiPu2Te4, optimized geometry" total_magnetization_mub_per_cell=20.0 formation_energy_uncorrected_ev_per_atom=-1.059 space_group="Cmcm (63)" total_energy_ev_per_atom=-6.59 pbc="T T T"
Li 3.417 -3.103 0.239
Te 5.468 -4.882 0.215
Pu 10.601 -11.079 3.646
K 6.802 -8.439 4.998
Pu 7.723 -6.990 0.494
Te 5.444 -8.787 1.630
Te 3.311 -1.815 -2.148
Pu 3.189 -6.679 1.350
Li 7.495 -10.566 1.605
Te 1.120 -4.476 0.556
K 4.111 -5.230 -3.154
Te 3.835 -5.449 4.200
Te 7.602 -11.854 3.993
Pu 0.312 -2.590 -1.801
Te 9.792 -9.194 1.288
Te 0.000 0.000 0.000

---

12
Lattice="4.542 0.000 0.000 0.000 9.557 -0.203 0.000 -2.718 9.820" Properties=species:S:1:pos:R:3 comment="PBE KLiPuTe3, optimized geometry" total_magnetization_mub_per_cell=8.0 formation_energy_uncorrected_ev_per_atom=-0.959 space_group="P2_1/m (11)" total_energy_ev_per_atom=-5.42 pbc="T T T"
Te 3.406 3.981 1.491
K 1.135 1.262 2.452
Te 1.135 -1.262 8.560
Pu 3.406 0.769 8.264
Li 3.406 7.679 3.792
Te 3.406 0.627 5.264
K 3.406 5.577 7.166
Li 1.135 -0.840 5.825
Pu 1.135 6.071 1.354
Te 3.406 8.101 1.057
Te 1.135 2.858 8.127
Te 1.135 6.212 4.354

---

12
Lattice="7.838 -0.002 0.003 -3.919 6.788 0.003 -1.305 -2.259 8.103" Properties=species:S:1:pos:R:3 comment="PBE K3LiPu2Te6, optimized geometry" total_magnetization_mub_per_cell=8.0 formation_energy_uncorrected_ev_per_atom=-0.979 space_group="C2/m (12)" total_energy_ev_per_atom=-5.37 pbc="T T T"
K 1.307 2.264 4.054
Te 2.671 0.000 1.651
Te 0.027 0.046 6.468
Te -1.335 2.313 1.651
Li 0.000 0.000 0.000
K -2.656 4.552 4.054
Te 2.588 4.481 1.641
Te -0.056 4.527 6.457
Te 3.950 2.214 6.457
K 5.271 -0.025 4.054
Pu 3.923 2.259 0.003
Pu -0.004 4.527 0.003

---

4
Lattice="0.000 4.621 4.621 4.621 0.000 4.621 4.621 4.621 0.000" Properties=species:S:1:pos:R:3 comment="PBE KRbLi2, optimized geometry" ef_ev_per_atom=0.2059 total_magnetization_mub_per_cell=0.0 space_group="Fm-3m (225)" total_energy_ev_per_atom=-1.27 pbc="T T T"
Rb 4.621 4.621 4.621
Li 2.311 2.311 2.311
Li 6.932 6.932 6.932
K 0.000 0.000 0.000

---

11
Lattice="4.821 0.000 -1.380 -0.716 11.950 -2.500 1.723 -1.252 15.129" Properties=species:S:1:pos:R:3 comment="PBE K2Rb8Li, optimized geometry" ef_ev_per_atom=0.0424 total_magnetization_mub_per_cell=0.0 space_group="C2/m (12)" total_energy_ev_per_atom=-1.03 pbc="T T T"
Rb -0.285 8.861 -0.996
K 5.093 9.232 8.679
Rb 1.634 7.424 5.708
Rb 2.889 5.138 10.092
Rb 4.194 3.274 5.542
Rb 6.114 1.837 12.246
K 0.736 1.466 2.570
Rb 2.622 0.252 9.159
Rb 3.207 10.445 2.091
Rb 2.939 5.560 1.158
Li 2.410 0.000 -0.690

---

19
Lattice="9.981 0.075 0.550 -0.454 12.422 6.545 -0.431 1.660 11.896" Properties=species:S:1:pos:R:3 comment="PBE K12Rb5Li2, optimized geometry" ef_ev_per_atom=0.0586 total_magnetization_mub_per_cell=0.0 space_group="C2/m (12)" total_energy_ev_per_atom=-1.09 pbc="T T T"
Rb 4.991 0.038 0.275
K 7.361 5.823 11.114
Rb 4.787 10.130 11.260
Li -0.130 3.546 1.868
K 2.579 5.999 3.869
K 8.694 11.607 8.727
Rb -0.154 9.459 12.190
K 2.602 11.887 15.057
Rb 9.250 4.698 6.801
K 6.274 8.272 7.097
K 7.105 12.825 14.803
K 1.735 8.334 7.877
Rb 4.309 4.028 7.731
K 0.402 2.550 10.265
K 1.991 1.332 4.188
K 2.821 5.885 11.894
K 6.494 2.270 3.935
Li -0.325 8.876 4.676
K 6.517 8.158 15.122

---

5
Lattice="-4.282 -0.741 -0.150 0.713 -3.667 -2.227 -0.956 -9.459 11.022" Properties=species:S:1:pos:R:3 comment="PBE K2RbLi2, optimized geometry" ef_ev_per_atom=0.1155 total_magnetization_mub_per_cell=0.0 space_group="I4/mmm (139)" total_energy_ev_per_atom=-1.28 pbc="T T T"
Li -3.512 -6.202 4.842
Rb 0.000 0.000 0.000
Li -1.014 -7.665 3.803
K -1.555 -4.213 2.192
K -2.970 -9.654 6.453

---

8
Lattice="7.232 -0.920 3.685 -3.518 7.801 5.425 -1.247 0.912 11.784" Properties=species:S:1:pos:R:3 comment="PBE K2Rb5Li, optimized geometry" ef_ev_per_atom=0.0690 total_magnetization_mub_per_cell=0.0 space_group="P1 (1)" total_energy_ev_per_atom=-1.05 pbc="T T T"
Rb 0.862 1.592 7.530
Rb 6.147 -0.533 7.040
Rb 2.209 3.228 15.449
K 3.916 3.127 10.745
K -0.679 4.649 10.884
Rb -1.623 5.906 15.406
Rb 0.819 7.171 19.218
Li 0.626 1.182 12.220

---

18
Lattice="-8.484 7.452 1.261 -3.469 -9.909 -4.345 -3.208 -4.049 9.667" Properties=species:S:1:pos:R:3 comment="PBE K6Rb2Li, optimized geometry" ef_ev_per_atom=0.0598 total_magnetization_mub_per_cell=0.0 space_group="C2/c (15)" total_energy_ev_per_atom=-1.10 pbc="T T T"
K -3.120 -7.032 0.412
Rb -7.748 -0.774 3.986
K -7.641 1.043 8.507
K -4.009 -2.627 2.268
K -7.520 -7.549 -1.924
K -5.971 -3.412 7.502
Li -4.512 -10.087 -1.659
K -11.152 -3.879 4.315
K -9.190 -3.094 -0.919
K -8.505 3.590 5.010
Rb -7.148 0.926 -0.740
K -8.781 4.835 0.908
K -6.657 -10.096 1.573
Rb -7.413 -5.732 2.597
Li -10.649 3.581 8.242
K -12.042 0.526 6.171
Rb -8.013 -7.432 7.323
K -6.380 -11.341 5.675

---

7
Lattice="7.170 0.000 0.000 0.000 7.170 0.000 3.585 3.585 11.427" Properties=species:S:1:pos:R:3 comment="PBE K2Rb4Li, optimized geometry" ef_ev_per_atom=0.1389 total_magnetization_mub_per_cell=0.0 space_group="I4/mmm (139)" total_energy_ev_per_atom=-1.00 pbc="T T T"
K 3.585 3.585 3.002
K 7.170 7.170 8.425
Rb 7.170 7.170 3.919
Rb 3.585 0.000 0.000
Li 0.000 0.000 0.000
Rb 0.000 3.585 0.000
Rb 3.585 3.585 7.508